Crystalline K2PmCl5 at its relaxed geometry. Source: Alexandria via LeMat-Bulk, functional PBE.

Magnetization in μB per formula unit: 0.00
Theoretical density in g/cm3: 2.9
ΔE_f (raw) in eV per atom: -2.171
Density of states at the Fermi level in states/eV per atom: 0.00
Space group: No. 62

Cell: 8.134 8.762 13.018 Å, 90.00 90.00 90.00°
Atoms (fractional coordinates):
K 0.454 0.503 0.827
K 0.546 0.497 0.173
K 0.954 0.497 0.673
K 0.546 0.003 0.173
K 0.046 0.503 0.327
K 0.454 0.997 0.827
K 0.046 0.997 0.327
K 0.954 0.003 0.673
Pm 0.426 0.250 0.505
Pm 0.574 0.750 0.495
Pm 0.926 0.750 0.995
Pm 0.074 0.250 0.005
Cl 0.084 0.250 0.510
Cl 0.916 0.750 0.490
Cl 0.584 0.750 0.990
Cl 0.416 0.250 0.010
Cl 0.340 0.958 0.578
Cl 0.660 0.042 0.422
Cl 0.840 0.042 0.922
Cl 0.660 0.458 0.422
Cl 0.160 0.958 0.078
Cl 0.340 0.542 0.578
Cl 0.160 0.542 0.078
Cl 0.840 0.458 0.922
Cl 0.165 0.250 0.800
Cl 0.835 0.750 0.200
Cl 0.665 0.750 0.700
Cl 0.335 0.250 0.300
Cl 0.627 0.250 0.676
Cl 0.373 0.750 0.324
Cl 0.127 0.750 0.824
Cl 0.873 0.250 0.176